DFT (PBE) results for a relaxed LiTl2Sb crystal.

Calculated values
Crystal system: orthorhombic
SG: No. 65
Formation energy from raw total energies, eV/atom: -0.040
Energy relative to the lowest polymorph listed for this composition, meV/atom: 151
Energy, eV/atom: -2.732

Cell lengths 3.396, 3.396, 8.877 Å; angles 90.00, 90.00, 91.73 degrees
Fractional positions:
Li (0.500, 0.500, 0.250)
Sb (0.500, 0.500, 0.750)
Tl (0.000, 0.000, 0.030)
Tl (0.000, 0.000, 0.470)

=====

DFT (PBE) results for a relaxed LiTlSb2 crystal.

Calculated values
Crystal system: trigonal
SG: No. 160
Formation energy from raw total energies, eV/atom: -0.041
Energy relative to the lowest polymorph listed for this composition, meV/atom: 157
Energy, eV/atom: -3.172

Cell lengths 4.641, 4.641, 6.407 Å; angles 68.77, 68.77, 60.00 degrees
Fractional positions:
Li (0.670, 0.670, 0.989)
Tl (0.500, 0.500, 0.501)
Sb (0.061, 0.061, 0.817)
Sb (0.269, 0.269, 0.193)

=====

no.,D(E_F) (states/eV/cell)
1,1.4
2,1.9